(1)
The following is a DFT calculation (GGA-PBE) of a relaxed structure of KPaTeS6.

```
data_KPaTeS6
_symmetry_space_group_name_H-M 'I m m a'
_symmetry_Int_Tables_number 74
_symmetry_space_group_name_Hall '-I 2b 2'
_cell_length_a 8.805
_cell_length_b 9.484
_cell_length_c 12.113
_cell_angle_alpha 90.00
_cell_angle_beta 90.00
_cell_angle_gamma 90.00
loop_
_atom_site_label
_atom_site_type_symbol
_atom_site_fract_x
_atom_site_fract_y
_atom_site_fract_z
K1 K 0.000 0.250 0.145
Pa1 Pa 0.250 0.250 0.750
Te1 Te 0.000 0.000 0.500
S1 S 0.000 0.250 0.595
S2 S 0.000 0.250 0.870
S3 S 0.224 0.022 0.337
```

(2)
The following is a DFT calculation (GGA-PBE) of a relaxed structure of K2PaTeS4.

```
data_K2PaTeS4
_symmetry_space_group_name_H-M 'I -4'
_symmetry_Int_Tables_number 82
_symmetry_space_group_name_Hall 'I -4'
_cell_length_a 7.924
_cell_length_b 7.924
_cell_length_c 8.104
_cell_angle_alpha 90.00
_cell_angle_beta 90.00
_cell_angle_gamma 90.00
loop_
_atom_site_label
_atom_site_type_symbol
_atom_site_fract_x
_atom_site_fract_y
_atom_site_fract_z
K1 K 0.000 0.000 0.000
K2 K 0.000 0.500 0.250
Pa1 Pa 0.000 0.000 0.500
Te1 Te 0.000 0.500 0.750
S1 S 0.165 0.802 0.698
```

(3)
The following is a DFT calculation (GGA-PBE) of a relaxed structure of K2ThPaS6.

```
data_K2ThPaS6
_symmetry_space_group_name_H-M 'P 1 21/c 1'
_symmetry_Int_Tables_number 14
_symmetry_space_group_name_Hall '-P 2ybc'
_cell_length_a 7.505
_cell_length_b 7.553
_cell_length_c 13.037
_cell_angle_alpha 90.00
_cell_angle_beta 125.04
_cell_angle_gamma 90.00
loop_
_atom_site_label
_atom_site_type_symbol
_atom_site_fract_x
_atom_site_fract_y
_atom_site_fract_z
K1 K 0.245 0.023 0.250
Th1 Th 0.500 0.000 0.000
Pa1 Pa 0.000 0.000 0.500
S1 S 0.192 0.227 0.977
S2 S 0.251 0.715 0.978
S3 S 0.288 0.008 0.744
```

(4)
The following is a DFT calculation (GGA-PBE) of a relaxed structure of K4Th3PaS8.

```
data_K4Th3PaS8
_symmetry_space_group_name_H-M 'R -3 m'
_symmetry_Int_Tables_number 166
_symmetry_space_group_name_Hall '-R 3 2"'
_cell_length_a 8.1343
_cell_length_b 8.1343
_cell_length_c 22.6400
_cell_angle_alpha 90.00
_cell_angle_beta 90.00
_cell_angle_gamma 120.00
loop_
_atom_site_label
_atom_site_type_symbol
_atom_site_fract_x
_atom_site_fract_y
_atom_site_fract_z
K1 K 0.0000 0.0000 0.0000
K2 K 0.0000 0.5000 0.0000
Th1 Th 0.0000 0.5000 0.5000
Pa1 Pa 0.0000 0.0000 0.5000
S1 S 0.0000 0.0000 0.2385
S2 S 0.0073 0.5037 0.2374
```

(5)
The following is a DFT calculation (GGA-PBE) of a relaxed structure of K2PaTiS6.

```
data_K2PaTiS6
_symmetry_space_group_name_H-M 'R -3'
_symmetry_Int_Tables_number 148
_symmetry_space_group_name_Hall '-R 3'
_cell_length_a 7.1123
_cell_length_b 7.1123
_cell_length_c 17.4160
_cell_angle_alpha 90.00
_cell_angle_beta 90.00
_cell_angle_gamma 120.00
loop_
_atom_site_label
_atom_site_type_symbol
_atom_site_fract_x
_atom_site_fract_y
_atom_site_fract_z
K1 K 0.0000 0.0000 0.2502
Pa1 Pa 0.0000 0.0000 0.5000
Ti1 Ti 0.0000 0.0000 0.0000
S1 S 0.0128 0.5075 0.7468
```

(6)
The following is a DFT calculation (GGA-PBE) of a relaxed structure of KPa2TiS8.

```
data_KPa2TiS8
_symmetry_space_group_name_H-M 'P 1 2/m 1'
_symmetry_Int_Tables_number 10
_symmetry_space_group_name_Hall '-P 2y'
_cell_length_a 6.092
_cell_length_b 8.366
_cell_length_c 6.231
_cell_angle_alpha 90.00
_cell_angle_beta 92.17
_cell_angle_gamma 90.00
loop_
_atom_site_label
_atom_site_type_symbol
_atom_site_fract_x
_atom_site_fract_y
_atom_site_fract_z
K1 K 0.000 0.000 0.000
Pa1 Pa 0.500 0.250 0.500
Ti1 Ti 0.000 0.500 0.000
S1 S 0.215 0.303 0.188
S2 S 0.288 0.500 0.697
S3 S 0.290 0.000 0.638
```

(7)
The following is a DFT calculation (GGA-PBE) of a relaxed structure of K3PaTi2S6.

```
data_K3PaTi2S6
_symmetry_space_group_name_H-M 'C 1 2/m 1'
_symmetry_Int_Tables_number 12
_symmetry_space_group_name_Hall '-C 2y'
_cell_length_a 6.555
_cell_length_b 11.429
_cell_length_c 7.708
_cell_angle_alpha 90.00
_cell_angle_beta 106.50
_cell_angle_gamma 90.00
loop_
_atom_site_label
_atom_site_type_symbol
_atom_site_fract_x
_atom_site_fract_y
_atom_site_fract_z
K1 K 0.000 0.000 0.000
K2 K 0.000 0.336 0.000
Pa1 Pa 0.000 0.500 0.500
Ti1 Ti 0.000 0.175 0.500
S1 S 0.213 0.000 0.688
S2 S 0.241 0.327 0.697
```

(8)
The following is a DFT calculation (GGA-PBE) of a relaxed structure of K2TmPaS4.

```
data_K2TmPaS4
_symmetry_space_group_name_H-M 'P 1 2/m 1'
_symmetry_Int_Tables_number 10
_symmetry_space_group_name_Hall '-P 2y'
_cell_length_a 6.984
_cell_length_b 3.978
_cell_length_c 7.774
_cell_angle_alpha 90.00
_cell_angle_beta 106.99
_cell_angle_gamma 90.00
loop_
_atom_site_label
_atom_site_type_symbol
_atom_site_fract_x
_atom_site_fract_y
_atom_site_fract_z
K1 K 0.000 0.000 0.000
K2 K 0.500 0.500 0.000
Tm1 Tm 0.000 0.500 0.500
Pa1 Pa 0.500 0.000 0.500
S1 S 0.231 0.000 0.702
S2 S 0.259 0.500 0.293
```

no.,uncorrected formation energy (eV/atom),calculated density (g cm⁻³)
1,-0.7748,3.9
2,-0.9118,3.7
3,-1.4883,4.0
4,-1.6260,5.1
5,-1.2868,3.6
6,-1.1932,4.2
7,-1.4129,3.8
8,-1.6551,4.9